Record 1
VASP calculation (PBE) on a relaxed structure of TmZrBr.

Computed properties:
formation energy from raw total energies	-571	meV/atom

Lattice parameters (Å, degrees): 3.508 5.177 8.939 98.01 101.29 90.05
Space group P-1 (No. 2)
Inequivalent atoms, fractional coordinates:
Tm1 0.124 0.313 0.250 [2 per cell]
Zr1 0.468 0.237 0.936 [2 per cell]
Br1 0.298 0.270 0.597 [2 per cell]

***

Record 2
VASP calculation (PBE) on a relaxed structure of Rb2Ac2CeS6.

Computed properties:
formation energy from raw total energies	-1841	meV/atom

Lattice parameters (Å, degrees): 7.579 12.953 8.191 90.00 107.65 90.00
Space group C2/m (No. 12)
Inequivalent atoms, fractional coordinates:
Rb1 0.000 0.168 0.000 [4 per cell]
Ac1 0.000 0.335 0.500 [4 per cell]
Ce1 0.000 0.000 0.500 [2 per cell]
S1 0.217 0.158 0.690 [8 per cell]
S2 0.242 0.000 0.310 [4 per cell]

***

Record 3
VASP calculation (PBE) on a relaxed structure of CeTi2C.

Computed properties:
DFT total energy	-32.36	eV/f.u.

Lattice parameters (Å, degrees): 3.0350 3.0350 24.9227 90.00 90.00 120.00
Space group R-3m (No. 166, hexagonal axes)
Inequivalent atoms, fractional coordinates:
Ce1 0.0000 0.0000 0.0000 [3 per cell]
Ti1 0.0000 0.0000 0.1201 [6 per cell]
C1 0.0000 0.0000 0.5000 [3 per cell]

***

What density values result from the calculations? In sequence: 7.17; 4.15; 6.21 Mg/m³.